# 1
TbHoAlPd (PBE, optimized geometry); ΔH_f (0 K) = -577 meV per atom; total magnetic moment = 0.0 μB/cell; space-group type = F-43m, No. 216; density of states at the Fermi level = 0.792 states/eV per atom; volume = 91.5 Å³ per cell; ρ = 8.3 g/cm3; E above lowest polymorph = 44 meV per atom
1.0
0.000 3.576 3.576
3.576 0.000 3.576
3.576 3.576 0.000
Tb Ho Al Pd
1 1 1 1
Cartesian
0.000 0.000 0.000
3.576 3.576 3.576
5.364 5.364 5.364
1.788 1.788 1.788

***

# 2
HoThAlPd (PBE, optimized geometry); ΔH_f (0 K) = -442 meV per atom; total magnetic moment = 0.2 μB/cell; space-group type = F-43m, No. 216; density of states at the Fermi level = 1.124 states/eV per atom; volume = 96.2 Å³ per cell; ρ = 9.2 g/cm3
1.0
0.000 3.637 3.637
3.637 0.000 3.637
3.637 3.637 0.000
Ho Th Al Pd
1 1 1 1
Cartesian
0.000 0.000 0.000
3.637 3.637 3.637
5.456 5.456 5.456
1.819 1.819 1.819

***

# 3
HoTmAl2Pd2 (PBE, optimized geometry); ΔH_f (0 K) = -801 meV per atom; total magnetic moment = 0.0 μB/cell; space-group type = P-3m1, No. 164; density of states at the Fermi level = 0.819 states/eV per atom; volume = 119.7 Å³ per cell; ρ = 8.3 g/cm3
1.0
4.502 0.000 0.000
-2.251 3.899 0.000
0.000 0.000 6.820
Ho Tm Al Pd
1 1 2 2
Cartesian
0.000 0.000 0.000
0.000 0.000 3.410
0.000 2.599 5.061
2.251 1.300 1.759
0.000 2.599 1.766
2.251 1.300 5.054